# 1
A plane-wave DFT calculation with GGA-PBE was carried out for an optimized crystal structure of Pr5Tm4Sc4.

Output
- Crystal system: tetragonal
- Calculated density: 6.54 g/cm3
- DFT formation energy: 57 meV/atom

a b c (Å): 12.6488 12.6488 4.9504
angles (deg): 90.00 90.00 90.00
Space group I4/m (No. 87)
Symmetry-distinct sites (fractional):
Pr  0.0000  0.0000  0.0000
Pr  0.0434  0.8036  0.5000
Tm  0.0774  0.6153  0.0000
Sc  0.1562  0.2347  0.0000

# 2
A plane-wave DFT calculation with GGA-PBE was carried out for an optimized crystal structure of Pm3Nd2Y6Er.

Output
- Crystal system: monoclinic
- Calculated density: 5.98 g/cm3
- DFT formation energy: 13 meV/atom

a b c (Å): 6.2495 10.8189 11.8892
angles (deg): 90.00 100.04 90.00
Space group C2/m (No. 12)
Symmetry-distinct sites (fractional):
Pm  0.0000  0.0000  0.0000
Pm  0.0000  0.3334  0.0000
Nd  0.0000  0.1665  0.5000
Y  0.2494  0.3336  0.7494
Y  0.2494  0.5000  0.2503
Er  0.0000  0.5000  0.5000

# 3
A plane-wave DFT calculation with GGA-PBE was carried out for an optimized crystal structure of MgNi2I.

Output
- Crystal system: tetragonal
- Excess energy over the best structure of this formula in the dataset: 47.1 meV/atom
- Calculated density: 6.14 g/cm3
- Formation energy (no corrections): 1.66 eV per formula unit

a b c (Å): 4.1364 4.1364 16.9838
angles (deg): 90.00 90.00 90.00
Space group I-42d (No. 122)
Symmetry-distinct sites (fractional):
Mg  0.0000  0.0000  0.0000
Ni  0.2493  0.2500  0.6250
I  0.0000  0.0000  0.5000

Calculated volume in A^3/atom, matching the order above: 30.46, 32.98, 18.16
D(E_F) in states/eV/cell, matching the order above: 41.30, 30.64, 8.86